5
Lattice="-2.873 2.908 -1.410 -3.226 -2.694 1.017 -0.194 1.728 3.959" Properties=species:S:1:pos:R:3 comment="PBE FeCu3Tc, optimized geometry" total_magnetization_mub_per_fu=5.81 spacegroup=Pm-3m polymorph_energy_mev_per_atom=0.0 pbc="T T T"
Tc -3.146 0.971 1.783
Cu -1.613 -1.347 0.509
Cu -0.097 0.864 1.979
Cu -1.436 1.454 -0.705
Fe 0.000 0.000 0.000

4
Lattice="2.542 -0.001 0.000 -0.671 2.451 0.000 0.000 0.000 8.178" Properties=species:S:1:pos:R:3 comment="PBE Fe2CuTc, optimized geometry" energy_ev_per_atom=-7.6818 total_magnetization_mub_per_fu=5.25 spacegroup=Cmmm pbc="T T T"
Cu 0.935 1.225 6.134
Fe 0.000 0.000 8.121
Fe 0.000 0.000 4.146
Tc 0.935 1.225 2.045

8
Lattice="-6.027 -0.399 2.211 1.786 -4.692 4.020 -1.577 -0.799 4.913" Properties=species:S:1:pos:R:3 comment="PBE Fe2CuTc, optimized geometry" energy_ev_per_atom=-7.1050 total_magnetization_mub_per_fu=0.00 spacegroup=I-42d pbc="T T T"
Tc 0.000 0.000 0.000
Tc -4.862 -1.872 5.120
Cu -2.121 -2.546 3.116
Cu -0.956 -4.019 6.025
Fe -4.105 -1.047 3.174
Fe 0.136 -3.171 3.956
Fe -2.823 -2.378 5.910
Fe -4.844 -5.185 9.249

4
Lattice="2.613 0.000 0.000 0.000 2.613 0.000 0.000 0.000 7.268" Properties=species:S:1:pos:R:3 comment="PBE Fe2CuTc, optimized geometry" energy_ev_per_atom=-7.6796 total_magnetization_mub_per_fu=3.70 spacegroup=P4/mmm pbc="T T T"
Cu 1.307 1.307 5.451
Fe 0.000 0.000 7.232
Fe 0.000 0.000 3.670
Tc 1.307 1.307 1.817

4
Lattice="-4.436 -0.529 -0.354 -0.918 -3.120 -3.083 2.749 0.004 3.539" Properties=species:S:1:pos:R:3 comment="PBE Fe2CuTc, optimized geometry" energy_ev_per_atom=-7.6411 total_magnetization_mub_per_fu=3.40 spacegroup=I-4m2 pbc="T T T"
Cu -2.182 -1.175 0.733
Fe 0.000 0.000 0.000
Fe -0.423 -2.470 -0.631
Tc -2.677 -1.824 -1.719

5
Lattice="4.372 0.000 0.000 0.000 4.372 0.000 0.000 0.000 4.372" Properties=species:S:1:pos:R:3 comment="PBE FeCuTc3, optimized geometry" energy_ev_per_atom=-6.7321 total_magnetization_mub_per_fu=0.00 spacegroup=Pm-3m pbc="T T T"
Tc 0.000 2.186 0.000
Tc 0.000 0.000 2.186
Tc 2.186 0.000 0.000
Cu 0.000 0.000 0.000
Fe 2.186 2.186 2.186

Repeat the fourth record exactly.
4
Lattice="2.613 0.000 0.000 0.000 2.613 0.000 0.000 0.000 7.268" Properties=species:S:1:pos:R:3 comment="PBE Fe2CuTc, optimized geometry" energy_ev_per_atom=-7.6796 total_magnetization_mub_per_fu=3.70 spacegroup=P4/mmm pbc="T T T"
Cu 1.307 1.307 5.451
Fe 0.000 0.000 7.232
Fe 0.000 0.000 3.670
Tc 1.307 1.307 1.817

What did the third record say?
8
Lattice="-6.027 -0.399 2.211 1.786 -4.692 4.020 -1.577 -0.799 4.913" Properties=species:S:1:pos:R:3 comment="PBE Fe2CuTc, optimized geometry" energy_ev_per_atom=-7.1050 total_magnetization_mub_per_fu=0.00 spacegroup=I-42d pbc="T T T"
Tc 0.000 0.000 0.000
Tc -4.862 -1.872 5.120
Cu -2.121 -2.546 3.116
Cu -0.956 -4.019 6.025
Fe -4.105 -1.047 3.174
Fe 0.136 -3.171 3.956
Fe -2.823 -2.378 5.910
Fe -4.844 -5.185 9.249

Copy entry 6 word for word.
5
Lattice="4.372 0.000 0.000 0.000 4.372 0.000 0.000 0.000 4.372" Properties=species:S:1:pos:R:3 comment="PBE FeCuTc3, optimized geometry" energy_ev_per_atom=-6.7321 total_magnetization_mub_per_fu=0.00 spacegroup=Pm-3m pbc="T T T"
Tc 0.000 2.186 0.000
Tc 0.000 0.000 2.186
Tc 2.186 0.000 0.000
Cu 0.000 0.000 0.000
Fe 2.186 2.186 2.186